DFT (PBE+U) results for a geometry-optimized MnPtRhO6 structure.

a = 5.1640 Å, b = 5.1640 Å, c = 8.8422 Å
α = 90.00°, β = 90.00°, γ = 120.00°
Closest atoms and distances in Å follow each position.
Fractional positions:
Mn (0.0000, 0.0000, 0.0000)  6 O 2.13
Mn (0.0000, 0.0000, 0.5000)  6 O 2.13
Pt (0.3333, 0.6667, 0.2500)  6 O 2.01
Pt (0.6667, 0.3333, 0.7500)  6 O 2.01
Rh (0.3333, 0.6667, 0.7500)  6 O 1.99
Rh (0.6667, 0.3333, 0.2500)  6 O 1.99
O (0.0022, 0.3521, 0.6270)  1 Rh 1.99, 1 Pt 2.01, 1 Mn 2.13
O (0.0022, 0.6501, 0.8730)  1 Rh 1.99, 1 Pt 2.01, 1 Mn 2.13
O (0.3499, 0.3521, 0.8730)  1 Rh 1.99, 1 Pt 2.01, 1 Mn 2.13
O (0.3499, 0.9978, 0.6270)  1 Rh 1.99, 1 Pt 2.01, 1 Mn 2.13
O (0.3521, 0.0022, 0.1270)  1 Rh 1.99, 1 Pt 2.01, 1 Mn 2.13
O (0.3521, 0.3499, 0.3730)  1 Rh 1.99, 1 Pt 2.01, 1 Mn 2.13
O (0.6479, 0.6501, 0.6270)  1 Rh 1.99, 1 Pt 2.01, 1 Mn 2.13
O (0.6479, 0.9978, 0.8730)  1 Rh 1.99, 1 Pt 2.01, 1 Mn 2.13
O (0.6501, 0.0022, 0.3730)  1 Rh 1.99, 1 Pt 2.01, 1 Mn 2.13
O (0.6501, 0.6479, 0.1270)  1 Rh 1.99, 1 Pt 2.01, 1 Mn 2.13
O (0.9978, 0.3499, 0.1270)  1 Rh 1.99, 1 Pt 2.01, 1 Mn 2.13
O (0.9978, 0.6479, 0.3730)  1 Rh 1.99, 1 Pt 2.01, 1 Mn 2.13

Values from the calculation:
Total energy in eV/cell: -114.8
Size of the total moment in μB/atom: 0.216
SG: P-31c (163)